## Tl2Cd5Hg12 (GGA-PBE)

Data for an optimized crystal structure of Tl2Cd5Hg12.

The structure in CIF format:
```
data_Tl2Cd5Hg12
_space_group_name_H-M_alt 'C 1 2/m 1'
_space_group_IT_number 12
_space_group_name_Hall '-C 2y'
_cell_length_a 20.214
_cell_length_b 7.096
_cell_length_c 7.302
_cell_angle_alpha 90.00
_cell_angle_beta 99.61
_cell_angle_gamma 90.00
loop_
_atom_site_label
_atom_site_type_symbol
_atom_site_fract_x
_atom_site_fract_y
_atom_site_fract_z
Tl1 Tl 0.000 0.236 0.000
Cd1 Cd 0.000 0.000 0.500
Cd2 Cd 0.169 0.000 0.955
Cd3 Cd 0.172 0.500 0.004
Hg1 Hg 0.091 0.500 0.316
Hg2 Hg 0.092 0.283 0.682
Hg3 Hg 0.121 0.000 0.322
Hg4 Hg 0.248 0.256 0.701
```

## Properties
Magnetization ... 0.0 μB/cell
E above lowest polymorph ... 0.0 meV/atom
ΔE_f ... 0.58 eV per formula unit
Crystal system ... monoclinic



## TlCd2Hg7 (GGA-PBE)

Data for an optimized crystal structure of TlCd2Hg7.

The structure in CIF format:
```
data_TlCd2Hg7
_space_group_name_H-M_alt 'C m m m'
_space_group_IT_number 65
_space_group_name_Hall '-C 2 2'
_cell_length_a 6.301
_cell_length_b 26.528
_cell_length_c 3.194
_cell_angle_alpha 90.00
_cell_angle_beta 90.00
_cell_angle_gamma 90.00
loop_
_atom_site_label
_atom_site_type_symbol
_atom_site_fract_x
_atom_site_fract_y
_atom_site_fract_z
Tl1 Tl 0.000 0.000 0.000
Cd1 Cd 0.000 0.299 0.500
Hg1 Hg 0.000 0.200 0.000
Hg2 Hg 0.000 0.500 0.500
Hg3 Hg 0.247 0.103 0.500
```

## Properties
Magnetization ... 0.0 μB/cell
E above lowest polymorph ... 0.0 meV/atom
ΔE_f ... 0.24 eV per formula unit
Crystal system ... orthorhombic



## Tl3Cd3Hg (GGA-PBE)

Data for an optimized crystal structure of Tl3Cd3Hg.

The structure in CIF format:
```
data_Tl3Cd3Hg
_space_group_name_H-M_alt 'R -3 m'
_space_group_IT_number 166
_space_group_name_Hall '-R 3 2"'
_cell_length_a 6.5401
_cell_length_b 6.5401
_cell_length_c 32.4443
_cell_angle_alpha 90.00
_cell_angle_beta 90.00
_cell_angle_gamma 120.00
loop_
_atom_site_label
_atom_site_type_symbol
_atom_site_fract_x
_atom_site_fract_y
_atom_site_fract_z
Tl1 Tl 0.0053 0.5027 0.3765
Cd1 Cd 0.0172 0.5086 0.2100
Hg1 Hg 0.0000 0.0000 0.1979
```

## Properties
Magnetization ... 0.0 μB/cell
E above lowest polymorph ... 0.0 meV/atom
ΔE_f ... 0.54 eV per formula unit
Crystal system ... trigonal



## Tl2CdHg7 (GGA-PBE)

Data for an optimized crystal structure of Tl2CdHg7.

The structure in CIF format:
```
data_Tl2CdHg7
_space_group_name_H-M_alt 'P 3 m 1'
_space_group_IT_number 156
_space_group_name_Hall 'P 3 -2"'
_cell_length_a 5.2401
_cell_length_b 5.2401
_cell_length_c 12.6858
_cell_angle_alpha 90.00
_cell_angle_beta 90.00
_cell_angle_gamma 120.00
loop_
_atom_site_label
_atom_site_type_symbol
_atom_site_fract_x
_atom_site_fract_y
_atom_site_fract_z
Tl1 Tl 0.0000 0.0000 0.0000
Tl2 Tl 0.3333 0.6667 0.6607
Cd1 Cd 0.6667 0.3333 0.3377
Hg1 Hg 0.0000 0.0000 0.2837
Hg2 Hg 0.0000 0.0000 0.7478
Hg3 Hg 0.3333 0.6667 0.1654
Hg4 Hg 0.3333 0.6667 0.4135
Hg5 Hg 0.3333 0.6667 0.9050
Hg6 Hg 0.6667 0.3333 0.0887
Hg7 Hg 0.6667 0.3333 0.5776
```

## Properties
Magnetization ... 0.0 μB/cell
E above lowest polymorph ... 29.6 meV/atom
ΔE_f ... 0.27 eV per formula unit
Crystal system ... trigonal



## Tl2CdHg (GGA-PBE)

Data for an optimized crystal structure of Tl2CdHg.

The structure in CIF format:
```
data_Tl2CdHg
_space_group_name_H-M_alt 'P 4/m m m'
_space_group_IT_number 123
_space_group_name_Hall '-P 4 2'
_cell_length_a 4.053
_cell_length_b 4.053
_cell_length_c 6.918
_cell_angle_alpha 90.00
_cell_angle_beta 90.00
_cell_angle_gamma 90.00
loop_
_atom_site_label
_atom_site_type_symbol
_atom_site_fract_x
_atom_site_fract_y
_atom_site_fract_z
Tl1 Tl 0.000 0.000 0.249
Cd1 Cd 0.500 0.500 0.500
Hg1 Hg 0.500 0.500 0.000
```

## Properties
Magnetization ... 0.0 μB/cell
E above lowest polymorph ... 6.6 meV/atom
ΔE_f ... 0.08 eV per formula unit
Crystal system ... tetragonal



## TlCd12Hg6 (GGA-PBE)

Data for an optimized crystal structure of TlCd12Hg6.

The structure in CIF format:
```
data_TlCd12Hg6
_space_group_name_H-M_alt 'R -3'
_space_group_IT_number 148
_space_group_name_Hall '-R 3'
_cell_length_a 10.5352
_cell_length_b 10.5352
_cell_length_c 15.0064
_cell_angle_alpha 90.00
_cell_angle_beta 90.00
_cell_angle_gamma 120.00
loop_
_atom_site_label
_atom_site_type_symbol
_atom_site_fract_x
_atom_site_fract_y
_atom_site_fract_z
Tl1 Tl 0.0000 0.0000 0.0000
Cd1 Cd 0.0139 0.8332 0.4156
Cd2 Cd 0.0209 0.8465 0.7672
Hg1 Hg 0.0148 0.3096 0.0675
```

## Properties
Magnetization ... 0.0 μB/cell
E above lowest polymorph ... 0.0 meV/atom
ΔE_f ... 0.50 eV per formula unit
Crystal system ... trigonal